# 1
Cu3Ir4 | GGA-PBE | relaxed

The space group is I4/mmm (No. 139) and the conventional cell measures 3.209, 3.209 and 18.812 Å, with angles of 90.00, 90.00 and 90.00 degrees. The asymmetric unit holds Cu at (0.000, 0.000, 0.000), Cu at (0.000, 0.000, 0.282), Ir at (0.000, 0.000, 0.142) and Ir at (0.000, 0.000, 0.427).

The formation energy is 265 meV per atom. The calculated volume is 193.7 Å³ per cell. The total energy comes out at -6.55 eV per atom.

---

# 2
SmY2Er7 | GGA-PBE | relaxed

The space group is P-1 (No. 2) and the conventional cell measures 6.108, 7.063 and 7.891 Å, with angles of 77.02, 75.06 and 73.36 degrees. The asymmetric unit holds Sm at (0.000, 0.000, 0.000), Y at (0.202, 0.799, 0.600), Er at (0.000, 0.500, 0.000), Er at (0.199, 0.301, 0.600), Er at (0.399, 0.600, 0.200) and Er at (0.400, 0.101, 0.199).

The formation energy is 23 meV per atom. The calculated volume is 310.9 Å³ per cell. The total energy comes out at -4.94 eV per atom.

---

# 3
Ta2AlSi | GGA-PBE | relaxed

The space group is Fm-3m (No. 225) and the conventional cell measures 6.376, 6.376 and 6.376 Å, with angles of 90.00, 90.00 and 90.00 degrees. The asymmetric unit holds Ta at (0.250, 0.250, 0.250), Al at (0.000, 0.000, 0.000) and Si at (0.000, 0.000, 0.500).

The calculated volume is 259.2 Å³ per cell. The value obtained for the formation energy from raw total energies is 0.060 eV per atom. The total energy comes out at -8.16 eV per atom.

---

# 4
Pm3GeCl2O6 | GGA-PBE | relaxed

The space group is C2/m (No. 12) and the conventional cell measures 11.397, 6.850 and 5.594 Å, with angles of 90.00, 97.63 and 90.00 degrees. The asymmetric unit holds Pm at (0.000, 0.000, 0.000), Pm at (0.250, 0.250, 0.500), Ge at (0.000, 0.500, 0.500), Cl at (0.223, 0.000, 0.874), O at (0.053, 0.254, 0.300) and O at (0.152, 0.500, 0.654).

The calculated volume is 432.9 Å³ per cell. The value obtained for the formation energy from raw total energies is -2.144 eV per atom. The total energy comes out at -6.50 eV per atom.

---

# 5
PmPaNiN3 | GGA-PBE | relaxed

The space group is P2_1/m (No. 11) and the conventional cell measures 7.182, 3.459 and 7.214 Å, with angles of 90.00, 100.57 and 90.00 degrees. The asymmetric unit holds Pm at (0.172, 0.250, 0.214), Pa at (0.336, 0.750, 0.818), Ni at (0.098, 0.250, 0.574), N at (0.131, 0.250, 0.865), N at (0.189, 0.750, 0.487) and N at (0.435, 0.750, 0.143).

The calculated volume is 176.2 Å³ per cell. The value obtained for the formation energy from raw total energies is -1.071 eV per atom. The total energy comes out at -8.57 eV per atom.

---

# 6
NdAgRh | GGA-PBE | relaxed

The space group is P-3m1 (No. 164) and the conventional cell measures 4.4942, 4.4942 and 7.8167 Å, with angles of 90.00, 90.00 and 120.00 degrees. The asymmetric unit holds Nd at (0.0000, 0.0000, 0.2278), Ag at (0.3333, 0.6667, 0.4706) and Rh at (0.3333, 0.6667, 0.0041).

The formation energy is -391 meV per atom. The calculated volume is 136.8 Å³ per cell. The total energy comes out at -5.38 eV per atom.

---

# 7
NaTaNb2Sn | GGA-PBE | relaxed

The space group is P4/mmm (No. 123) and the conventional cell measures 5.153, 5.153 and 5.144 Å, with angles of 90.00, 90.00 and 90.00 degrees. The asymmetric unit holds Na at (0.000, 0.000, 0.000), Ta at (0.500, 0.500, 0.000), Nb at (0.000, 0.500, 0.500) and Sn at (0.500, 0.500, 0.500).

The formation energy is 1757 meV per atom. The calculated volume is 136.6 Å³ per cell. The total energy comes out at -5.71 eV per atom.

---

# 8
LaEr2Tl4 | GGA-PBE | relaxed

The space group is P4/mmm (No. 123) and the conventional cell measures 5.271, 5.271 and 7.729 Å, with angles of 90.00, 90.00 and 90.00 degrees. The asymmetric unit holds La at (0.000, 0.000, 0.000), Er at (0.000, 0.000, 0.500), Er at (0.500, 0.500, 0.000) and Tl at (0.000, 0.500, 0.276).

The formation energy is -208 meV per atom. The calculated volume is 214.7 Å³ per cell. The total energy comes out at -3.57 eV per atom.

---

# 9
Cs2UO3F3 | GGA-PBE | relaxed

The space group is P-62m (No. 189) and the conventional cell measures 7.3532, 7.3532 and 3.4901 Å, with angles of 90.00, 90.00 and 120.00 degrees. The asymmetric unit holds Cs at (0.3333, 0.6667, 0.0000), U at (0.0000, 0.0000, 0.5000), O at (0.0000, 0.1906, 0.0000) and F at (0.0000, 0.6843, 0.5000).

The calculated volume is 163.4 Å³ per cell. The value obtained for the formation energy from raw total energies is -2.530 eV per atom. The total energy comes out at -6.25 eV per atom.

---

# 10
Pm3CdRh | GGA-PBE | relaxed

The space group is Pm-3m (No. 221) and the conventional cell measures 5.469, 5.469 and 5.469 Å, with angles of 90.00, 90.00 and 90.00 degrees. The asymmetric unit holds Pm at (0.000, 0.000, 0.500), Cd at (0.500, 0.500, 0.500) and Rh at (0.000, 0.000, 0.000).

The formation energy is -232 meV per atom. The calculated volume is 163.5 Å³ per cell. The total energy comes out at -4.74 eV per atom.

---

# 11
Re2MoAu | GGA-PBE | relaxed

The space group is C2/m (No. 12) and the conventional cell measures 9.331, 2.862 and 4.826 Å, with angles of 90.00, 101.24 and 90.00 degrees. The asymmetric unit holds Re at (0.244, 0.000, 0.233), Mo at (0.000, 0.500, 0.000) and Au at (0.000, 0.000, 0.500).

The formation energy is 305 meV per atom. The calculated volume is 126.4 Å³ per cell. The total energy comes out at -9.45 eV per atom.

---

# 12
NaCeSe | GGA-PBE | relaxed

The space group is Cmce (No. 64) and the conventional cell measures 11.200, 9.786 and 8.198 Å, with angles of 90.00, 90.00 and 90.00 degrees. The asymmetric unit holds Na at (0.187, 0.000, 0.000), Ce at (0.000, 0.121, 0.431) and Se at (0.000, 0.111, 0.786).

The calculated volume is 898.6 Å³ per cell. The value obtained for the formation energy from raw total energies is -0.634 eV per atom. The total energy comes out at -4.21 eV per atom.

---

# 13
ThSiIr3 | GGA-PBE | relaxed

The space group is I4mm (No. 107) and the conventional cell measures 4.076, 4.076 and 10.784 Å, with angles of 90.00, 90.00 and 90.00 degrees. The asymmetric unit holds Th at (0.000, 0.000, 0.000), Si at (0.000, 0.000, 0.628), Ir at (0.000, 0.000, 0.412) and Ir at (0.000, 0.500, 0.245).

The calculated volume is 179.2 Å³ per cell. The value obtained for the formation energy from raw total energies is -0.856 eV per atom. The total energy comes out at -8.74 eV per atom.

---

# 14
La2CePr | GGA-PBE | relaxed

The space group is R3m (No. 160, hexagonal axes) and the conventional cell measures 3.6641, 3.6641 and 35.9218 Å, with angles of 90.00, 90.00 and 120.00 degrees. The asymmetric unit holds La at (0.0000, 0.0000, 0.0000), La at (0.0000, 0.0000, 0.1611), Ce at (0.0000, 0.0000, 0.7471) and Pr at (0.0000, 0.0000, 0.5790).

The formation energy is 70 meV per atom. The calculated volume is 417.6 Å³ per cell. The total energy comes out at -5.07 eV per atom.

---

# 15
LiBr2O6 | GGA-PBE | relaxed

The space group is C2/c (No. 15) and the conventional cell measures 9.335, 9.874 and 6.671 Å, with angles of 90.00, 107.15 and 90.00 degrees. The asymmetric unit holds Li at (0.000, 0.076, 0.250), Br at (0.204, 0.379, 0.265), O at (0.113, 0.085, 0.628), O at (0.122, 0.422, 0.448) and O at (0.187, 0.209, 0.236).

The calculated volume is 587.5 Å³ per cell. The value obtained for the formation energy from raw total energies is -0.081 eV per atom. The total energy comes out at -3.97 eV per atom.

---

# 16
Mg2IrCl8 | GGA-PBE | relaxed

The space group is P-3m1 (No. 164) and the conventional cell measures 7.0980, 7.0980 and 6.4434 Å, with angles of 90.00, 90.00 and 120.00 degrees. The asymmetric unit holds Mg at (0.3333, 0.6667, 0.0434), Ir at (0.0000, 0.0000, 0.0000), Cl at (0.1551, 0.3101, 0.2144) and Cl at (0.3333, 0.6667, 0.6925).

The calculated volume is 281.1 Å³ per cell. The value obtained for the formation energy from raw total energies is -1.036 eV per atom. The total energy comes out at -3.47 eV per atom.

---

# 17
Sm2YTh3P6 | GGA-PBE | relaxed

The space group is C2/m (No. 12) and the conventional cell measures 7.142, 12.351 and 7.093 Å, with angles of 90.00, 109.61 and 90.00 degrees. The asymmetric unit holds Sm at (0.000, 0.166, 0.000), Y at (0.000, 0.500, 0.000), Th at (0.000, 0.000, 0.500), Th at (0.000, 0.333, 0.500), P at (0.247, 0.500, 0.751) and P at (0.248, 0.335, 0.248).

The formation energy is -1583 meV per atom. The calculated volume is 589.4 Å³ per cell. The total energy comes out at -7.47 eV per atom.

---

# 18
Tm6Tl3O2 | GGA-PBE | relaxed

The space group is I4/mmm (No. 139) and the conventional cell measures 4.613, 4.613 and 24.446 Å, with angles of 90.00, 90.00 and 90.00 degrees. The asymmetric unit holds Tm at (0.000, 0.000, 0.196), Tm at (0.000, 0.500, 0.086), Tl at (0.000, 0.000, 0.323), Tl at (0.000, 0.000, 0.500) and O at (0.000, 0.000, 0.101).

The calculated volume is 520.1 Å³ per cell. The value obtained for the formation energy from raw total energies is -1.247 eV per atom. The total energy comes out at -5.23 eV per atom.

---

# 19
PmNd7Tm3 | GGA-PBE | relaxed

The space group is C2/c (No. 15) and the conventional cell measures 19.236, 7.238 and 12.551 Å, with angles of 90.00, 115.99 and 90.00 degrees. The asymmetric unit holds Pm at (0.000, 0.000, 0.000), Nd at (0.000, 0.235, 0.250), Nd at (0.161, 0.493, 0.775), Nd at (0.167, 0.249, 0.028), Nd at (0.168, 0.247, 0.529), Tm at (0.000, 0.500, 0.000) and Tm at (0.169, 0.004, 0.276).

The formation energy is 177 meV per atom. The calculated volume is 1570.7 Å³ per cell. The total energy comes out at -4.51 eV per atom.

---

# 20
LaY2CdN | GGA-PBE | relaxed

The space group is P4/mmm (No. 123) and the conventional cell measures 4.873, 4.873 and 5.111 Å, with angles of 90.00, 90.00 and 90.00 degrees. The asymmetric unit holds La at (0.000, 0.000, 0.000), Y at (0.000, 0.500, 0.500), Cd at (0.500, 0.500, 0.000) and N at (0.000, 0.000, 0.500).

The calculated volume is 121.4 Å³ per cell. The value obtained for the formation energy from raw total energies is -0.789 eV per atom. The total energy comes out at -6.21 eV per atom.